Here is a PBEsol-optimized structure of SrTl2 from Alexandria. Energies are from meta-GGA SCAN.

abc: 7.5211 7.5211 7.5211
angles: 90.00 90.00 90.00
Space group Fm-3m (No. 225)
One atom of each set of equivalent atoms:
Sr1 0.0000 0.0000 0.0000 x4
Tl1 0.2500 0.2500 0.2500 x8



Here is a PBEsol-optimized structure of SrTl4 from Alexandria. Energies are from meta-GGA SCAN.

abc: 7.7822 7.7822 4.7753
angles: 90.00 90.00 90.00
Space group I4/m (No. 87)
One atom of each set of equivalent atoms:
Sr1 0.0000 0.0000 0.0000 x2
Tl1 0.0864 0.6928 0.5000 x8



Here is a PBEsol-optimized structure of SrTl2 from Alexandria. Energies are from meta-GGA SCAN.

abc: 6.9683 5.1897 9.9151
angles: 90.00 90.00 90.00
Space group Pnma (No. 62)
One atom of each set of equivalent atoms:
Sr1 0.1665 0.2500 0.0887 x4
Tl1 0.0432 0.2500 0.7357 x4
Tl2 0.1525 0.2500 0.4218 x4



Here is a PBEsol-optimized structure of SrTl2 from Alexandria. Energies are from meta-GGA SCAN.

abc: 9.0056 9.0056 9.0056
angles: 90.00 90.00 90.00
Space group Fd-3m (No. 227, origin choice 2)
One atom of each set of equivalent atoms:
Sr1 0.1250 0.1250 0.1250 x8
Tl1 0.0000 0.0000 0.5000 x16



Here is a PBEsol-optimized structure of SrTl2 from Alexandria. Energies are from meta-GGA SCAN.

abc: 11.9343 5.0908 7.9852
angles: 90.00 131.14 90.00
Space group C2/m (No. 12)
One atom of each set of equivalent atoms:
Sr1 0.0370 0.0000 0.2909 x4
Tl1 0.1606 0.5000 0.0811 x4
Tl2 0.1669 0.5000 0.6776 x4



Here is a PBEsol-optimized structure of Sr3Tl2 from Alexandria. Energies are from meta-GGA SCAN.

abc: 5.6009 5.6009 6.9477
angles: 90.00 90.00 120.00
Space group P-3m1 (No. 164)
One atom of each set of equivalent atoms:
Sr1 0.0000 0.0000 0.0000 x1
Sr2 0.3333 0.6667 0.3377 x2
Tl1 0.3333 0.6667 0.8466 x2



Here is a PBEsol-optimized structure of Sr5Tl4 from Alexandria. Energies are from meta-GGA SCAN.

abc: 10.0780 10.0780 7.0723
angles: 90.00 90.00 120.00
Space group P6_3/mcm (No. 193)
One atom of each set of equivalent atoms:
Sr1 0.0000 0.2890 0.2500 x6
Sr2 0.3333 0.6667 0.0000 x4
Tl1 0.0000 0.0000 0.0000 x2
Tl2 0.0000 0.3768 0.7500 x6



Here is a PBEsol-optimized structure of Sr3Tl5 from Alexandria. Energies are from meta-GGA SCAN.

abc: 10.5577 8.4966 10.9953
angles: 90.00 90.00 90.00
Space group Cmcm (No. 63)
One atom of each set of equivalent atoms:
Sr1 0.0000 0.1046 0.2500 x4
Sr2 0.2100 0.5000 0.0000 x8
Tl1 0.0000 0.1979 0.5422 x8
Tl2 0.0000 0.4957 0.2500 x4
Tl3 0.2069 0.2270 0.7500 x8



Here is a PBEsol-optimized structure of SrTl2 from Alexandria. Energies are from meta-GGA SCAN.

abc: 3.9550 3.9550 11.6934
angles: 90.00 90.00 90.00
Space group I4/mmm (No. 139)
One atom of each set of equivalent atoms:
Sr1 0.0000 0.0000 0.0000 x2
Tl1 0.0000 0.0000 0.3191 x4



Here is a PBEsol-optimized structure of SrTl2 from Alexandria. Energies are from meta-GGA SCAN.

abc: 5.0895 5.0895 8.0836
angles: 90.00 90.00 120.00
Space group P6_3/mmc (No. 194)
One atom of each set of equivalent atoms:
Sr1 0.0000 0.0000 0.2500 x2
Tl1 0.3333 0.6667 0.0474 x4



Here is a PBEsol-optimized structure of SrTl2 from Alexandria. Energies are from meta-GGA SCAN.

abc: 4.1573 15.7715 5.6046
angles: 90.00 90.00 90.00
Space group Cmcm (No. 63)
One atom of each set of equivalent atoms:
Sr1 0.0000 0.0983 0.2500 x4
Tl1 0.0000 0.2299 0.7500 x4
Tl2 0.0000 0.4253 0.2500 x4



Here is a PBEsol-optimized structure of SrTl2 from Alexandria. Energies are from meta-GGA SCAN.

abc: 5.1465 5.1465 3.9805
angles: 90.00 90.00 120.00
Space group P-3m1 (No. 164)
One atom of each set of equivalent atoms:
Sr1 0.0000 0.0000 0.0000 x1
Tl1 0.3333 0.6667 0.5900 x2



Here is a PBEsol-optimized structure of SrTlW2 from Alexandria. Energies are from meta-GGA SCAN.

abc: 8.5481 3.0880 7.1481
angles: 90.00 96.86 90.00
Space group Cm (No. 8)
One atom of each set of equivalent atoms:
Sr1 0.0000 0.0000 0.0000 x2
Tl1 0.2432 0.0000 0.6772 x2
W1 0.2689 0.5000 0.3121 x2
W2 0.4962 0.0000 0.4392 x2



Here is a PBEsol-optimized structure of SrYTl from Alexandria. Energies are from meta-GGA SCAN.

abc: 7.5545 7.5545 7.5545
angles: 90.00 90.00 90.00
Space group F-43m (No. 216)
One atom of each set of equivalent atoms:
Sr1 0.0000 0.0000 0.0000 x4
Y1 0.0000 0.0000 0.5000 x4
Tl1 0.2500 0.2500 0.7500 x4



| no. | ΔH_f (0 K) (meV/atom) | electronic total energy (Ry per atom) | magnetic moment (μB per formula unit) |
| --- | --- | --- | --- |
| 1 | -100 | -4.099 | 0.00 |
| 2 | -283 | -4.603 | 0.00 |
| 3 | -450 | -4.124 | 0.00 |
| 4 | -397 | -4.120 | 0.00 |
| 5 | -484 | -4.127 | 0.00 |
| 6 | -492 | -3.146 | 0.00 |
| 7 | -478 | -3.308 | 0.00 |
| 8 | -526 | -3.977 | 0.00 |
| 9 | -405 | -4.121 | 0.00 |
| 10 | -532 | -4.130 | 0.00 |
| 11 | -422 | -4.122 | 0.00 |
| 12 | -478 | -4.126 | 0.00 |
| 13 | 797 | -4.241 | 0.00 |
| 14 | -292 | -3.022 | 0.00 |